The following is a GGA+U calculation of crystalline VMo2O at its relaxed geometry, from Alexandria via LeMat-Bulk.

Unit cell a=7.534 b=7.534 c=5.776 alpha=49.29 beta=49.29 gamma=90.00
Last column: magnetic moment on the atom in μB.
Fractional positions:
Mo: 0.875 0.739 0.750  -2.04
Mo: 0.261 0.625 0.250  -2.04
Mo: 0.489 0.125 0.250  -2.04
Mo: 0.375 0.511 0.750  -2.04
O: 0.500 0.500 0.000  0.00
O: 0.250 0.750 0.500  0.00
V: 0.000 0.000 0.000  2.48
V: 0.750 0.250 0.500  2.48

Summary:
mass density	6.79	Mg/m³
magnetization	2.81	μB per cell
SG	I-42d
DFT total energy	-6.069	eV per atom

=====

The following is a GGA+U calculation of crystalline V3MoO6 at its relaxed geometry, from Alexandria via LeMat-Bulk.

Unit cell a=5.630 b=5.630 c=5.630 alpha=55.41 beta=55.41 gamma=55.41
Last column: magnetic moment on the atom in μB.
Fractional positions:
V: 0.351 0.351 0.351  1.98
V: 0.650 0.650 0.650  1.97
V: 0.149 0.149 0.149  1.97
O: 0.754 0.435 0.056  -0.01
O: 0.948 0.267 0.540  -0.02
O: 0.267 0.540 0.948  -0.02
O: 0.540 0.948 0.267  -0.02
O: 0.056 0.754 0.435  -0.01
O: 0.435 0.056 0.754  -0.01
Mo: 0.851 0.851 0.851  2.71

Summary:
mass density	5.08	Mg/m³
magnetization	9.00	μB per cell
SG	R3
DFT total energy	-7.854	eV per atom

=====

The following is a GGA+U calculation of crystalline YV2MoO8 at its relaxed geometry, from Alexandria via LeMat-Bulk.

Unit cell a=5.930 b=5.930 c=5.930 alpha=106.98 beta=106.98 gamma=114.58
Last column: magnetic moment on the atom in μB.
Fractional positions:
Mo: 0.250 0.750 0.500  2.69
Y: 0.000 0.000 0.000  0.01
O: 0.766 0.078 0.688  0.03
O: 0.922 0.234 0.312  0.03
O: 0.324 0.516 0.191  -0.01
O: 0.484 0.676 0.809  -0.01
O: 0.324 0.133 0.809  -0.01
O: 0.389 0.078 0.312  0.03
O: 0.922 0.611 0.688  0.03
O: 0.867 0.676 0.191  -0.01
V: 0.750 0.250 0.500  -0.02
V: 0.500 0.500 0.000  0.14

Summary:
mass density	4.32	Mg/m³
magnetization	3.00	μB per cell
SG	I-4m2
DFT total energy	-7.817	eV per atom

=====

The following is a GGA+U calculation of crystalline VZnMoO4 at its relaxed geometry, from Alexandria via LeMat-Bulk.

Unit cell a=6.298 b=6.198 c=6.198 alpha=59.65 beta=59.47 gamma=59.47
Last column: magnetic moment on the atom in μB.
Fractional positions:
O: 0.765 0.223 0.246  0.02
O: 0.777 0.247 0.747  0.01
O: 0.771 0.753 0.253  0.01
O: 0.223 0.753 0.253  0.01
O: 0.229 0.247 0.747  0.01
O: 0.235 0.777 0.754  0.02
O: 0.765 0.746 0.723  0.02
O: 0.235 0.254 0.277  0.02
Mo: 0.000 0.000 0.500  2.71
Mo: 0.500 0.000 0.500  2.71
Zn: 0.376 0.374 0.874  0.03
Zn: 0.624 0.626 0.126  0.03
V: 0.000 0.000 0.000  1.95
V: 0.000 0.500 0.500  1.95

Summary:
mass density	5.42	Mg/m³
magnetization	10.00	μB per cell
SG	Imma
DFT total energy	-6.826	eV per atom

=====

The following is a GGA+U calculation of crystalline Mo2W2O5 at its relaxed geometry, from Alexandria via LeMat-Bulk.

Unit cell a=3.859 b=3.859 c=7.470 alpha=90.00 beta=90.00 gamma=90.00
Last column: magnetic moment on the atom in μB.
Fractional positions:
W: 0.500 0.500 0.000  -3.14
W: 0.500 0.500 0.500  1.95
O: 0.000 0.000 0.500  0.02
O: 0.000 0.500 0.319  -0.09
O: 0.000 0.500 0.681  -0.09
O: 0.500 0.000 0.681  -0.09
O: 0.500 0.000 0.319  -0.09
Mo: 0.000 0.000 0.780  1.95
Mo: 0.000 0.000 0.220  1.95

Summary:
mass density	9.55	Mg/m³
magnetization	1.96	μB per cell
SG	P4/mmm
DFT total energy	-6.439	eV per atom

=====

The following is a GGA+U calculation of crystalline MoW2O at its relaxed geometry, from Alexandria via LeMat-Bulk.

Unit cell a=6.645 b=6.645 c=5.701 alpha=54.36 beta=54.36 gamma=90.00
Last column: magnetic moment on the atom in μB.
Fractional positions:
W: 0.375 0.476 0.750  -2.40
W: 0.226 0.625 0.250  -2.41
W: 0.524 0.125 0.250  -2.42
W: 0.875 0.774 0.750  -2.39
Mo: 0.750 0.250 0.500  3.10
Mo: 0.000 0.000 0.000  3.10
O: 0.250 0.750 0.500  0.04
O: 0.500 0.500 0.000  0.04

Summary:
mass density	11.17	Mg/m³
magnetization	3.89	μB per cell
SG	I-42d
DFT total energy	-5.991	eV per atom

=====

The following is a GGA+U calculation of crystalline Mo2WO8 at its relaxed geometry, from Alexandria via LeMat-Bulk.

Unit cell a=7.014 b=6.081 c=6.081 alpha=50.35 beta=82.79 gamma=82.79
Last column: magnetic moment on the atom in μB.
Fractional positions:
O: 0.746 0.363 0.363  0.01
O: 0.159 0.129 0.647  -0.03
O: 0.254 0.637 0.637  0.01
O: 0.440 0.209 0.209  0.00
O: 0.841 0.353 0.871  -0.03
O: 0.841 0.871 0.353  -0.03
O: 0.159 0.647 0.129  -0.03
O: 0.560 0.791 0.791  0.00
W: 0.000 0.000 0.000  1.80
Mo: 0.691 0.215 0.215  0.04
Mo: 0.309 0.785 0.785  0.04

Summary:
mass density	4.23	Mg/m³
magnetization	2.00	μB per cell
SG	C2/m
DFT total energy	-6.845	eV per atom

=====

The following is a GGA+U calculation of crystalline Mo2WO6 at its relaxed geometry, from Alexandria via LeMat-Bulk.

Unit cell a=4.836 b=4.836 c=9.656 alpha=90.00 beta=90.00 gamma=90.00
Last column: magnetic moment on the atom in μB.
Fractional positions:
O: 0.688 0.688 0.152  -0.01
O: 0.188 0.812 0.652  -0.01
O: 0.290 0.290 0.500  0.00
O: 0.312 0.312 0.152  -0.01
O: 0.812 0.188 0.348  -0.01
O: 0.312 0.312 0.848  -0.01
O: 0.210 0.790 0.000  0.00
O: 0.790 0.210 0.000  0.00
O: 0.688 0.688 0.848  -0.01
O: 0.188 0.812 0.348  -0.01
O: 0.812 0.188 0.652  -0.01
O: 0.710 0.710 0.500  0.00
Mo: 0.000 0.000 0.834  2.73
Mo: 0.000 0.000 0.166  2.73
Mo: 0.500 0.500 0.666  2.73
Mo: 0.500 0.500 0.334  2.73
W: 0.000 0.000 0.500  0.29
W: 0.500 0.500 0.000  0.29

Summary:
mass density	6.94	Mg/m³
magnetization	12.00	μB per cell
SG	P4_2/mnm
DFT total energy	-7.521	eV per atom

=====

The following is a GGA+U calculation of crystalline Mo4WO12 at its relaxed geometry, from Alexandria via LeMat-Bulk.

Unit cell a=6.639 b=6.639 c=6.639 alpha=107.79 beta=112.91 gamma=107.77
Last column: magnetic moment on the atom in μB.
Fractional positions:
O: 0.827 0.723 0.550  -0.04
O: 0.827 0.277 0.105  -0.04
O: 0.605 0.277 0.327  -0.04
O: 0.303 0.500 0.197  -0.12
O: 0.697 0.893 0.197  -0.12
O: 0.173 0.277 0.450  -0.04
O: 0.395 0.723 0.673  -0.04
O: 0.050 0.723 0.327  -0.04
O: 0.697 0.500 0.803  -0.12
O: 0.173 0.723 0.895  -0.04
O: 0.950 0.277 0.673  -0.04
O: 0.303 0.107 0.803  -0.12
Mo: 0.500 0.500 0.500  1.38
Mo: 0.500 0.000 0.000  1.38
Mo: 0.000 0.500 0.000  1.38
Mo: 0.000 0.000 0.500  1.38
W: 0.000 0.500 0.500  1.22

Summary:
mass density	5.62	Mg/m³
magnetization	6.00	μB per cell
SG	I4/mmm
DFT total energy	-7.201	eV per atom

=====

The following is a GGA+U calculation of crystalline Mo2WO at its relaxed geometry, from Alexandria via LeMat-Bulk.

Unit cell a=7.191 b=7.191 c=5.599 alpha=50.05 beta=50.05 gamma=90.00
Last column: magnetic moment on the atom in μB.
Fractional positions:
W: 0.000 0.000 0.000  1.92
W: 0.750 0.250 0.500  1.92
Mo: 0.375 0.477 0.750  -0.38
Mo: 0.523 0.125 0.250  -0.38
Mo: 0.227 0.625 0.250  -0.38
Mo: 0.875 0.773 0.750  -0.38
O: 0.500 0.500 0.000  0.03
O: 0.250 0.750 0.500  0.03

Summary:
mass density	10.73	Mg/m³
magnetization	2.75	μB per cell
SG	I-42d
DFT total energy	-5.702	eV per atom

=====

The following is a GGA+U calculation of crystalline YMoW2O8 at its relaxed geometry, from Alexandria via LeMat-Bulk.

Unit cell a=5.813 b=5.382 c=11.102 alpha=63.53 beta=90.00 gamma=90.00
Last column: magnetic moment on the atom in μB.
Fractional positions:
O: 0.623 0.253 0.126  -0.03
O: 0.894 0.672 0.889  0.00
O: 0.636 0.231 0.863  0.03
O: 0.623 0.747 0.374  -0.03
O: 0.889 0.174 0.403  0.01
O: 0.889 0.826 0.097  0.01
O: 0.364 0.231 0.363  0.03
O: 0.377 0.253 0.626  -0.03
O: 0.364 0.769 0.137  0.03
O: 0.106 0.672 0.389  0.00
O: 0.111 0.174 0.903  0.01
O: 0.894 0.328 0.611  0.00
O: 0.106 0.328 0.111  0.00
O: 0.636 0.769 0.637  0.03
O: 0.111 0.826 0.597  0.01
O: 0.377 0.747 0.874  -0.03
Mo: 0.338 0.000 0.250  2.75
Mo: 0.662 0.000 0.750  2.75
W: 0.157 0.255 0.497  1.04
W: 0.843 0.745 0.503  1.04
W: 0.843 0.255 0.997  1.04
W: 0.157 0.745 0.003  1.04
Y: 0.331 0.500 0.750  0.02
Y: 0.669 0.500 0.250  0.02

Summary:
mass density	7.27	Mg/m³
magnetization	10.00	μB per cell
SG	P2/c
DFT total energy	-7.924	eV per atom
excess energy over the best structure of this formula in the dataset	0	meV per atom

=====

The following is a GGA+U calculation of crystalline YMoW2O at its relaxed geometry, from Alexandria via LeMat-Bulk.

Unit cell a=4.905 b=5.677 c=4.905 alpha=90.00 beta=90.00 gamma=90.00
Last column: magnetic moment on the atom in μB.
Fractional positions:
O: 0.500 0.500 0.500  0.28
Mo: 0.000 0.000 0.000  -1.88
W: 0.500 0.000 0.000  2.23
W: 0.000 0.000 0.500  2.07
Y: 0.000 0.500 0.000  -0.05

Summary:
mass density	6.91	Mg/m³
magnetization	3.09	μB per cell
SG	P4/mmm
DFT total energy	-4.570	eV per atom

=====

The following is a GGA+U calculation of crystalline YMoW2O8 at its relaxed geometry, from Alexandria via LeMat-Bulk.

Unit cell a=5.163 b=6.181 c=6.490 alpha=118.55 beta=109.54 gamma=88.86
Last column: magnetic moment on the atom in μB.
Fractional positions:
O: 0.867 0.573 0.212  0.03
O: 0.260 0.548 0.671  0.01
O: 0.818 0.000 0.166  -0.03
O: 0.682 0.779 0.604  -0.01
O: 0.726 0.231 0.631  0.00
O: 0.303 0.296 0.147  -0.03
O: 0.179 0.970 0.593  0.01
O: 0.387 0.751 0.191  -0.01
Y: 0.469 0.351 0.879  0.02
W: 0.290 0.601 0.401  1.04
W: 0.784 0.932 0.401  0.13
Mo: 0.034 0.792 0.908  3.48

Summary:
mass density	6.69	Mg/m³
magnetization	5.00	μB per cell
SG	P1
DFT total energy	-7.788	eV per atom
excess energy over the best structure of this formula in the dataset	136	meV per atom

=====

The following is a GGA+U calculation of crystalline Zn2MoW2O8 at its relaxed geometry, from Alexandria via LeMat-Bulk.

Unit cell a=6.288 b=6.347 c=9.498 alpha=89.36 beta=90.24 gamma=60.50
Last column: magnetic moment on the atom in μB.
Fractional positions:
Zn: 0.333 0.335 0.416  0.02
Zn: 0.321 0.352 0.037  0.02
Zn: 0.659 0.670 0.540  0.01
Zn: 0.679 0.654 0.915  0.02
Mo: 0.171 0.160 0.745  2.74
Mo: 0.171 0.666 0.740  1.95
O: 0.661 0.673 0.126  0.06
O: 0.350 0.327 0.628  0.04
O: 0.160 0.174 0.143  0.00
O: 0.513 0.018 0.863  -0.01
O: 0.995 0.990 0.854  0.07
O: 0.998 0.005 0.355  0.09
O: 0.810 0.326 0.640  -0.02
O: 0.836 0.832 0.642  0.00
O: 0.964 0.521 0.368  0.01
O: 0.157 0.682 0.142  0.00
O: 0.492 0.469 0.869  0.01
O: 0.513 0.522 0.365  0.01
O: 0.662 0.174 0.144  -0.01
O: 0.515 0.970 0.368  0.01
O: 0.335 0.819 0.642  -0.01
O: 0.038 0.484 0.870  0.01
W: 0.680 0.155 0.744  1.02
W: 0.832 0.335 0.244  1.92
W: 0.831 0.843 0.244  1.92
W: 0.324 0.843 0.243  1.92

Summary:
mass density	7.27	Mg/m³
magnetization	12.00	μB per cell
SG	P1
DFT total energy	-6.580	eV per atom

=====

The following is a GGA+U calculation of crystalline YMo2O6 at its relaxed geometry, from Alexandria via LeMat-Bulk.

Unit cell a=4.935 b=5.288 c=5.288 alpha=120.00 beta=90.00 gamma=90.00
Last column: magnetic moment on the atom in μB.
Fractional positions:
O: 0.274 0.355 0.355  -0.03
O: 0.726 0.355 0.000  -0.03
O: 0.274 0.645 0.000  -0.03
O: 0.726 0.645 0.645  -0.03
O: 0.726 0.000 0.355  -0.03
O: 0.274 0.000 0.645  -0.03
Mo: 0.500 0.333 0.667  1.55
Mo: 0.500 0.667 0.333  1.55
Y: 0.000 0.000 0.000  0.05

Summary:
mass density	5.24	Mg/m³
magnetization	3.00	μB per cell
SG	P-31m
DFT total energy	-7.746	eV per atom

=====

The following is a GGA+U calculation of crystalline YMoO2 at its relaxed geometry, from Alexandria via LeMat-Bulk.

Unit cell a=4.103 b=4.103 c=4.103 alpha=60.00 beta=60.00 gamma=60.00
Last column: magnetic moment on the atom in μB.
Fractional positions:
Mo: 0.500 0.500 0.500  0.90
O: 0.750 0.750 0.750  -0.03
O: 0.250 0.250 0.250  -0.03
Y: 0.000 0.000 0.000  0.03

Summary:
mass density	7.37	Mg/m³
magnetization	1.00	μB per cell
SG	Fm-3m
DFT total energy	-7.106	eV per atom
excess energy over the best structure of this formula in the dataset	864	meV per atom

=====

The following is a GGA+U calculation of crystalline Y5Mo2O12 at its relaxed geometry, from Alexandria via LeMat-Bulk.

Unit cell a=6.842 b=6.842 c=7.594 alpha=73.71 beta=73.71 gamma=49.99
Last column: magnetic moment on the atom in μB.
Fractional positions:
O: 0.598 0.093 0.574  0.00
O: 0.001 0.001 0.818  0.00
O: 0.907 0.402 0.426  0.00
O: 0.501 0.501 0.205  0.03
O: 0.920 0.409 0.916  0.00
O: 0.999 0.999 0.182  0.00
O: 0.080 0.591 0.084  0.00
O: 0.093 0.598 0.574  0.00
O: 0.591 0.080 0.084  0.00
O: 0.409 0.920 0.916  0.00
O: 0.402 0.907 0.426  0.00
O: 0.499 0.499 0.795  0.03
Y: 0.500 0.500 0.500  0.00
Y: 0.195 0.195 0.639  0.00
Y: 0.815 0.815 0.821  0.01
Y: 0.185 0.185 0.179  0.01
Y: 0.805 0.805 0.361  0.00
Mo: 0.282 0.718 0.000  0.43
Mo: 0.718 0.282 0.000  0.43

Summary:
mass density	5.31	Mg/m³
magnetization	1.00	μB per cell
SG	C2/m
DFT total energy	-8.515	eV per atom

=====

The following is a GGA+U calculation of crystalline YMoO3 at its relaxed geometry, from Alexandria via LeMat-Bulk.

Unit cell a=4.087 b=4.087 c=4.087 alpha=90.00 beta=90.00 gamma=90.00
Last column: magnetic moment on the atom in μB.
Fractional positions:
Mo: 0.500 0.500 0.500  2.52
Y: 0.000 0.000 0.000  0.14
O: 0.500 0.500 0.000  0.03
O: 0.500 0.000 0.500  0.03
O: 0.000 0.500 0.500  0.03

Summary:
mass density	5.66	Mg/m³
magnetization	2.99	μB per cell
SG	Pm-3m
DFT total energy	-7.700	eV per atom

=====

The following is a GGA+U calculation of crystalline Y2Mo4O15 at its relaxed geometry, from Alexandria via LeMat-Bulk.

Unit cell a=9.736 b=6.932 c=10.812 alpha=75.02 beta=90.00 gamma=90.00
Fractional positions:
O: 0.849 0.282 0.918
O: 0.473 0.044 0.710
O: 0.000 0.000 0.500
O: 0.724 0.886 0.651
O: 0.276 0.114 0.349
O: 0.973 0.956 0.790
O: 0.873 0.528 0.100
O: 0.127 0.472 0.900
O: 0.448 0.373 0.815
O: 0.776 0.886 0.151
O: 0.500 0.000 0.000
O: 0.665 0.615 0.900
O: 0.864 0.257 0.617
O: 0.373 0.472 0.400
O: 0.224 0.114 0.849
O: 0.552 0.627 0.185
O: 0.627 0.528 0.600
O: 0.151 0.718 0.082
O: 0.052 0.373 0.315
O: 0.136 0.743 0.383
O: 0.835 0.615 0.400
O: 0.651 0.282 0.418
O: 0.027 0.044 0.210
O: 0.364 0.743 0.883
O: 0.636 0.257 0.117
O: 0.349 0.718 0.582
O: 0.335 0.385 0.100
O: 0.527 0.956 0.290
O: 0.165 0.385 0.600
O: 0.948 0.627 0.685
Y: 0.023 0.293 0.775
Y: 0.977 0.707 0.225
Y: 0.477 0.293 0.275
Y: 0.523 0.707 0.725
Mo: 0.757 0.420 0.010
Mo: 0.406 0.116 0.844
Mo: 0.094 0.116 0.344
Mo: 0.243 0.580 0.990
Mo: 0.257 0.580 0.490
Mo: 0.906 0.884 0.656
Mo: 0.743 0.420 0.510
Mo: 0.594 0.884 0.156

Summary:
mass density	3.78	Mg/m³
magnetization	0.00	μB per cell
SG	P2_1/c
DFT total energy	-7.627	eV per atom